This record from Alexandria describes crystalline CuBN2F at its relaxed geometry. The functional is PBE.

Cell: 3.0391 3.0391 5.5921 Å, 90.00 90.00 90.00°
Space group P4/mmm (No. 123)
One atom of each set of equivalent atoms:
Cu (0.0000, 0.0000, 0.0000) (multiplicity 1)
B (0.5000, 0.5000, 0.5000) (multiplicity 1)
N (0.0000, 0.5000, 0.5000) (multiplicity 2)
F (0.5000, 0.5000, 0.0000) (multiplicity 1)

Summary:
Formation energy (no corrections): 0.470 eV per atom
Energy relative to the lowest polymorph listed for this composition: 0.0 kJ/mol of atoms
Total energy: -5.3894 eV per atom
Crystal system: tetragonal
N(E_F): 4.2 states/eV/f.u.